# PBE LaNb2CuBrO7, optimized geometry
data_LaNb2CuBrO7
_symmetry_space_group_name_H-M 'P 1'
_symmetry_Int_Tables_number 1
_symmetry_space_group_name_Hall 'P 1'
_cell_length_a 7.887
_cell_length_b 7.919
_cell_length_c 11.826
_cell_angle_alpha 90.00
_cell_angle_beta 90.00
_cell_angle_gamma 90.00
loop_
_atom_site_label
_atom_site_type_symbol
_atom_site_fract_x
_atom_site_fract_y
_atom_site_fract_z
_atom_site_occupancy
O1 O 0.000 0.000 0.183 1
O2 O 0.250 0.750 0.152 1
O3 O 0.219 0.499 0.342 1
O4 O 0.281 0.999 0.342 1
O5 O 0.719 0.001 0.342 1
O6 O 0.201 0.000 0.000 1
O7 O 0.000 0.500 0.134 1
O8 O 0.500 0.500 0.183 1
O9 O 0.250 0.250 0.848 1
O10 O 0.500 0.000 0.866 1
O11 O 0.781 0.501 0.342 1
O12 O 0.719 0.001 0.658 1
O13 O 0.799 0.000 0.000 1
O14 O 0.299 0.500 0.000 1
O15 O 0.701 0.500 0.000 1
O16 O 0.281 0.999 0.658 1
O17 O 0.781 0.501 0.658 1
O18 O 0.500 0.000 0.134 1
O19 O 0.750 0.250 0.848 1
O20 O 0.000 0.500 0.866 1
O21 O 0.750 0.250 0.152 1
O22 O 0.750 0.750 0.848 1
O23 O 0.000 0.000 0.817 1
O24 O 0.250 0.250 0.152 1
O25 O 0.250 0.750 0.848 1
O26 O 0.750 0.750 0.152 1
O27 O 0.500 0.500 0.817 1
O28 O 0.219 0.499 0.658 1
La1 La 0.500 0.738 0.000 1
La2 La 0.000 0.238 0.000 1
La3 La 0.500 0.262 0.000 1
La4 La 0.000 0.762 0.000 1
Br1 Br 0.951 0.230 0.500 1
Br2 Br 0.549 0.730 0.500 1
Br3 Br 0.451 0.270 0.500 1
Br4 Br 0.049 0.770 0.500 1
Nb1 Nb 0.248 0.500 0.810 1
Nb2 Nb 0.252 0.000 0.190 1
Nb3 Nb 0.252 0.000 0.810 1
Nb4 Nb 0.748 0.000 0.810 1
Nb5 Nb 0.748 0.000 0.190 1
Nb6 Nb 0.752 0.500 0.810 1
Nb7 Nb 0.248 0.500 0.190 1
Nb8 Nb 0.752 0.500 0.190 1
Cu1 Cu 0.728 0.997 0.500 1
Cu2 Cu 0.272 0.003 0.500 1
Cu3 Cu 0.772 0.497 0.500 1
Cu4 Cu 0.228 0.503 0.500 1
# **ΔE_f (raw)**: -2.34 eV/atom
# **Symmetry**: Pbam (55)
# **N(E_F)**: 0.99 states/eV/f.u.